(1)
{
  "formula": "HoBe2Pt2",
  "functional": "GGA-PBE",
  "state": "optimized geometry",
  "total_magnetization_mub_per_cell": 0.003,
  "crystal_system": "tetragonal",
  "energy_ev_per_atom": -5.76,
  "lattice_angstrom": [[-1.1001, 3.8376, 0.0174], [-3.4555, -0.9985, 1.7322], [3.9792, 1.1018, 8.5731]],
  "species": ["Be", "Be", "Be", "Be", "Ho", "Ho", "Pt", "Pt", "Pt", "Pt"],
  "frac_coords": [[0.0000, 0.0000, 0.0000], [0.5000, 0.5000, 0.0000], [0.5000, 0.0000, 0.3735], [0.0000, 0.5000, 0.6265], [0.0000, 0.5000, 0.2489], [0.5000, 0.0000, 0.7511], [0.5000, 0.0000, 0.1275], [0.0000, 0.0000, 0.5000], [0.5000, 0.5000, 0.5000], [0.0000, 0.5000, 0.8725]]
}

***

(2)
{
  "formula": "HoBePt",
  "functional": "GGA-PBE",
  "state": "optimized geometry",
  "total_magnetization_mub_per_cell": 0.001,
  "crystal_system": "cubic",
  "energy_ev_per_atom": -5.26,
  "lattice_angstrom": [[0.0000, 3.1473, 3.1473], [3.1473, 0.0000, 3.1473], [3.1473, 3.1473, 0.0000]],
  "species": ["Be", "Ho", "Pt"],
  "frac_coords": [[0.2500, 0.2500, 0.2500], [0.7500, 0.7500, 0.7500], [0.0000, 0.0000, 0.0000]]
}

***

(3)
{
  "formula": "HoPuBe",
  "functional": "GGA-PBE",
  "state": "optimized geometry",
  "total_magnetization_mub_per_cell": 6.085,
  "crystal_system": "cubic",
  "energy_ev_per_atom": -7.08,
  "lattice_angstrom": [[0.0000, 3.3369, 3.3369], [3.3369, 0.0000, 3.3369], [3.3369, 3.3369, 0.0000]],
  "species": ["Be", "Ho", "Pu"],
  "frac_coords": [[0.0000, 0.0000, 0.0000], [0.2500, 0.2500, 0.2500], [0.7500, 0.7500, 0.7500]]
}

***

(4)
{
  "formula": "RbHoBe",
  "functional": "GGA-PBE",
  "state": "optimized geometry",
  "total_magnetization_mub_per_cell": 0.023,
  "crystal_system": "cubic",
  "energy_ev_per_atom": -1.73,
  "lattice_angstrom": [[2.5871, 1.4937, 4.2247], [-2.5871, 1.4937, 4.2247], [0.0000, -2.9873, 4.2247]],
  "species": ["Be", "Ho", "Rb"],
  "frac_coords": [[0.7500, 0.7500, 0.7500], [0.0000, 0.0000, 0.0000], [0.2500, 0.2500, 0.2500]]
}

***

(5)
{
  "formula": "RbHoBe",
  "functional": "GGA-PBE",
  "state": "optimized geometry",
  "total_magnetization_mub_per_cell": 0.080,
  "crystal_system": "trigonal",
  "energy_ev_per_atom": -2.19,
  "lattice_angstrom": [[5.5058, 0.0000, 0.0000], [-2.7529, 4.7682, 0.0000], [0.0000, 0.0000, 11.4548]],
  "species": ["Be", "Be", "Be", "Ho", "Ho", "Ho", "Rb", "Rb", "Rb"],
  "frac_coords": [[0.0000, 0.0000, 0.2451], [0.3333, 0.6667, 0.4953], [0.0000, 0.0000, 0.7441], [0.3333, 0.6667, 0.2559], [0.0000, 0.0000, 0.4943], [0.3333, 0.6667, 0.7348], [0.6667, 0.3333, 0.3482], [0.6667, 0.3333, 0.6422], [0.6667, 0.3333, 0.9960]]
}

***

(6)
{
  "formula": "RbHoBeTe3",
  "functional": "GGA-PBE",
  "state": "optimized geometry",
  "total_magnetization_mub_per_cell": 0.007,
  "crystal_system": "orthorhombic",
  "energy_ev_per_atom": -4.13,
  "lattice_angstrom": [[-6.7604, 1.4423, 5.0064], [4.7548, -5.2185, -4.7965], [6.2999, -2.8276, 9.3217]],
  "species": ["Be", "Be", "Ho", "Ho", "Rb", "Rb", "Te", "Te", "Te", "Te", "Te", "Te"],
  "frac_coords": [[0.4637, 0.5363, 0.2500], [0.5363, 0.4637, 0.7500], [0.0000, 0.0000, 0.0000], [0.0000, 0.0000, 0.5000], [0.7419, 0.2581, 0.2500], [0.2581, 0.7419, 0.7500], [0.3788, 0.6212, 0.0742], [0.0570, 0.9430, 0.2500], [0.3788, 0.6212, 0.4258], [0.6212, 0.3788, 0.5742], [0.9430, 0.0570, 0.7500], [0.6212, 0.3788, 0.9258]]
}

***

(7)
{
  "formula": "HoBeRe",
  "functional": "GGA-PBE",
  "state": "optimized geometry",
  "total_magnetization_mub_per_cell": 0.007,
  "crystal_system": "cubic",
  "energy_ev_per_atom": -6.38,
  "lattice_angstrom": [[0.0000, 2.9787, 2.9787], [2.9787, 0.0000, 2.9787], [2.9787, 2.9787, 0.0000]],
  "species": ["Be", "Ho", "Re"],
  "frac_coords": [[0.0000, 0.0000, 0.0000], [0.2500, 0.2500, 0.2500], [0.7500, 0.7500, 0.7500]]
}

***

(8)
{
  "formula": "HoBeRe",
  "functional": "GGA-PBE",
  "state": "optimized geometry",
  "total_magnetization_mub_per_cell": 1.860,
  "crystal_system": "cubic",
  "energy_ev_per_atom": -5.27,
  "lattice_angstrom": [[4.0292, 0.2447, 1.9434], [0.6369, -1.7695, 4.0663], [2.4885, -3.6957, 0.4700]],
  "species": ["Be", "Ho", "Re"],
  "frac_coords": [[0.5000, 0.5000, 0.5000], [0.2500, 0.2500, 0.2500], [0.0000, 0.0000, 0.0000]]
}

***

(9)
{
  "formula": "HoScBe",
  "functional": "GGA-PBE",
  "state": "optimized geometry",
  "total_magnetization_mub_per_cell": 0.001,
  "crystal_system": "cubic",
  "energy_ev_per_atom": -3.90,
  "lattice_angstrom": [[3.9083, -2.0439, -1.3594], [2.7298, -2.0544, 3.1028], [0.3467, -4.6014, 0.0807]],
  "species": ["Be", "Ho", "Sc"],
  "frac_coords": [[0.2500, 0.2500, 0.2500], [0.0000, 0.0000, 0.0000], [0.7500, 0.7500, 0.7500]]
}

***

(10)
{
  "formula": "HoScBe",
  "functional": "GGA-PBE",
  "state": "optimized geometry",
  "total_magnetization_mub_per_cell": 0.007,
  "crystal_system": "cubic",
  "energy_ev_per_atom": -3.99,
  "lattice_angstrom": [[-4.2702, -1.2393, 1.1476], [-3.5900, 2.3590, -1.6232], [-2.7629, -1.8957, -3.1401]],
  "species": ["Be", "Ho", "Sc"],
  "frac_coords": [[0.2500, 0.2500, 0.2500], [0.7500, 0.7500, 0.7500], [0.0000, 0.0000, 0.0000]]
}

***

(11)
{
  "formula": "HoBeSi3",
  "functional": "GGA-PBE",
  "state": "optimized geometry",
  "total_magnetization_mub_per_cell": 0.001,
  "crystal_system": "cubic",
  "energy_ev_per_atom": -4.70,
  "lattice_angstrom": [[4.4105, 0.0000, 0.0000], [0.0000, 4.4105, 0.0000], [0.0000, 0.0000, 4.4105]],
  "species": ["Be", "Ho", "Si", "Si", "Si"],
  "frac_coords": [[0.5000, 0.5000, 0.5000], [0.0000, 0.0000, 0.0000], [0.5000, 0.5000, 0.0000], [0.5000, 0.0000, 0.5000], [0.0000, 0.5000, 0.5000]]
}

***

(12)
{
  "formula": "SmHoBe2Si2",
  "functional": "GGA-PBE",
  "state": "optimized geometry",
  "total_magnetization_mub_per_cell": 0.005,
  "crystal_system": "trigonal",
  "energy_ev_per_atom": -5.24,
  "lattice_angstrom": [[-3.6610, -1.1635, 0.6374], [2.0719, -1.5865, -2.8902], [2.7175, -5.7531, 5.1061]],
  "species": ["Be", "Be", "Ho", "Si", "Si", "Sm"],
  "frac_coords": [[0.6667, 0.3333, 0.2561], [0.3333, 0.6667, 0.7439], [0.0000, 0.0000, 0.5000], [0.3333, 0.6667, 0.2570], [0.6667, 0.3333, 0.7430], [0.0000, 0.0000, 0.0000]]
}

***

(13)
{
  "formula": "TbHoBe2Si2",
  "functional": "GGA-PBE",
  "state": "optimized geometry",
  "total_magnetization_mub_per_cell": 0.006,
  "crystal_system": "trigonal",
  "energy_ev_per_atom": -5.24,
  "lattice_angstrom": [[3.8699, 0.0000, 0.0000], [-1.9349, 3.3514, 0.0000], [0.0000, 0.0000, 8.0493]],
  "species": ["Be", "Be", "Ho", "Si", "Si", "Tb"],
  "frac_coords": [[0.6667, 0.3333, 0.2517], [0.3333, 0.6667, 0.7483], [0.0000, 0.0000, 0.5000], [0.3333, 0.6667, 0.2523], [0.6667, 0.3333, 0.7477], [0.0000, 0.0000, 0.0000]]
}

***

(14)
{
  "formula": "YHoBe2Si2",
  "functional": "GGA-PBE",
  "state": "optimized geometry",
  "total_magnetization_mub_per_cell": 0.003,
  "crystal_system": "trigonal",
  "energy_ev_per_atom": -5.56,
  "lattice_angstrom": [[-3.6874, 1.1032, -0.3919], [1.4535, -2.7447, -2.3067], [-2.2426, -5.6213, 5.2755]],
  "species": ["Be", "Be", "Ho", "Si", "Si", "Y"],
  "frac_coords": [[0.6667, 0.3333, 0.2512], [0.3333, 0.6667, 0.7488], [0.0000, 0.0000, 0.5000], [0.3333, 0.6667, 0.2517], [0.6667, 0.3333, 0.7482], [0.0000, 0.0000, 0.0000]]
}

***

(15)
{
  "formula": "SmHoBe",
  "functional": "GGA-PBE",
  "state": "optimized geometry",
  "total_magnetization_mub_per_cell": 0.000,
  "crystal_system": "cubic",
  "energy_ev_per_atom": -3.39,
  "lattice_angstrom": [[2.6782, -2.2626, -3.2680], [1.4482, -4.5004, 0.7880], [-1.8683, -3.6005, -2.5530]],
  "species": ["Be", "Ho", "Sm"],
  "frac_coords": [[0.2500, 0.2500, 0.2500], [0.7500, 0.7500, 0.7500], [0.0000, 0.0000, 0.0000]]
}

***

(16)
{
  "formula": "HoTaBe",
  "functional": "GGA-PBE",
  "state": "optimized geometry",
  "total_magnetization_mub_per_cell": 0.003,
  "crystal_system": "cubic",
  "energy_ev_per_atom": -6.11,
  "lattice_angstrom": [[1.4146, -3.5639, -2.1014], [-2.0844, -1.3987, -3.5801], [1.8942, 0.3823, -3.9223]],
  "species": ["Be", "Ho", "Ta"],
  "frac_coords": [[0.0000, 0.0000, 0.0000], [0.2500, 0.2500, 0.2500], [0.7500, 0.7500, 0.7500]]
}

***

(17)
{
  "formula": "HoTaBe",
  "functional": "GGA-PBE",
  "state": "optimized geometry",
  "total_magnetization_mub_per_cell": 1.796,
  "crystal_system": "cubic",
  "energy_ev_per_atom": -5.04,
  "lattice_angstrom": [[-3.8926, 2.2175, -1.0823], [-3.8369, -0.7556, 2.4389], [-1.6375, 3.2789, 2.7944]],
  "species": ["Be", "Ho", "Ta"],
  "frac_coords": [[0.7500, 0.7500, 0.7500], [0.0000, 0.0000, 0.0000], [0.2500, 0.2500, 0.2500]]
}

***

(18)
{
  "formula": "HoBeTe",
  "functional": "GGA-PBE",
  "state": "optimized geometry",
  "total_magnetization_mub_per_cell": 0.065,
  "crystal_system": "cubic",
  "energy_ev_per_atom": -3.67,
  "lattice_angstrom": [[0.7010, -2.0820, 4.3634], [1.0855, 2.7639, 3.8792], [-3.2907, 0.6166, 3.5576]],
  "species": ["Be", "Ho", "Te"],
  "frac_coords": [[0.7500, 0.7500, 0.7500], [0.0000, 0.0000, 0.0000], [0.2500, 0.2500, 0.2500]]
}

***

(19)
{
  "formula": "HoBeTe",
  "functional": "GGA-PBE",
  "state": "optimized geometry",
  "total_magnetization_mub_per_cell": 0.718,
  "crystal_system": "cubic",
  "energy_ev_per_atom": -3.51,
  "lattice_angstrom": [[-4.0214, 0.3295, 2.7255], [-1.2686, 4.2724, 1.9611], [-3.8930, 2.3914, -1.6836]],
  "species": ["Be", "Ho", "Te"],
  "frac_coords": [[0.2500, 0.2500, 0.2500], [0.7500, 0.7500, 0.7500], [0.0000, 0.0000, 0.0000]]
}

***

(20)
{
  "formula": "HoBeTlTe3",
  "functional": "GGA-PBE",
  "state": "optimized geometry",
  "total_magnetization_mub_per_cell": 0.003,
  "crystal_system": "orthorhombic",
  "energy_ev_per_atom": -4.12,
  "lattice_angstrom": [[-8.0440, -0.4923, 1.1751], [7.5996, -1.1653, 2.6867], [0.0161, 10.5830, 4.5444]],
  "species": ["Be", "Be", "Ho", "Ho", "Te", "Te", "Te", "Te", "Te", "Te", "Tl", "Tl"],
  "frac_coords": [[0.9651, 0.0349, 0.2500], [0.0349, 0.9651, 0.7500], [0.5000, 0.5000, 0.0000], [0.5000, 0.5000, 0.5000], [0.8717, 0.1283, 0.0760], [0.5632, 0.4368, 0.2500], [0.8717, 0.1283, 0.4240], [0.1283, 0.8717, 0.5760], [0.4368, 0.5632, 0.7500], [0.1283, 0.8717, 0.9240], [0.2515, 0.7485, 0.2500], [0.7485, 0.2515, 0.7500]]
}

***

(21)
{
  "formula": "HoThBe",
  "functional": "GGA-PBE",
  "state": "optimized geometry",
  "total_magnetization_mub_per_cell": 0.029,
  "crystal_system": "cubic",
  "energy_ev_per_atom": -4.92,
  "lattice_angstrom": [[0.6875, -0.6755, 4.6838], [-2.7985, 2.2284, 3.1733], [-3.1841, -2.4968, 2.5483]],
  "species": ["Be", "Ho", "Th"],
  "frac_coords": [[0.0000, 0.0000, 0.0000], [0.2500, 0.2500, 0.2500], [0.7500, 0.7500, 0.7500]]
}

***

(22)
{
  "formula": "HoUBe",
  "functional": "GGA-PBE",
  "state": "optimized geometry",
  "total_magnetization_mub_per_cell": 2.756,
  "crystal_system": "cubic",
  "energy_ev_per_atom": -5.76,
  "lattice_angstrom": [[-1.8690, -4.2114, -0.3235], [-4.5876, -0.5096, 0.1662], [-2.3287, -1.2073, -3.8017]],
  "species": ["Be", "Ho", "U"],
  "frac_coords": [[0.0000, 0.0000, 0.0000], [0.2500, 0.2500, 0.2500], [0.7500, 0.7500, 0.7500]]
}

***

(23)
{
  "formula": "HoZrBe",
  "functional": "GGA-PBE",
  "state": "optimized geometry",
  "total_magnetization_mub_per_cell": 1.078,
  "crystal_system": "cubic",
  "energy_ev_per_atom": -4.36,
  "lattice_angstrom": [[0.0000, 3.2880, 3.2880], [3.2880, 0.0000, 3.2880], [3.2880, 3.2880, 0.0000]],
  "species": ["Be", "Ho", "Zr"],
  "frac_coords": [[0.2500, 0.2500, 0.2500], [0.0000, 0.0000, 0.0000], [0.7500, 0.7500, 0.7500]]
}

***

(24)
{
  "formula": "TbBe3I",
  "functional": "GGA-PBE",
  "state": "optimized geometry",
  "total_magnetization_mub_per_cell": 0.062,
  "crystal_system": "tetragonal",
  "energy_ev_per_atom": -2.47,
  "lattice_angstrom": [[1.7719, -5.4557, 4.4271], [-3.5780, 1.0959, 6.2048], [-2.4242, -0.1270, -6.8272]],
  "species": ["Be", "Be", "Be", "Be", "Be", "Be", "I", "I", "Tb", "Tb"],
  "frac_coords": [[0.2500, 0.2500, 0.0000], [0.7500, 0.7500, 0.0000], [0.8846, 0.3846, 0.2692], [0.3846, 0.1154, 0.5000], [0.6154, 0.8846, 0.5000], [0.1154, 0.6154, 0.7308], [0.0000, 0.0000, 0.0000], [0.5000, 0.5000, 0.0000], [0.7500, 0.2500, 0.5000], [0.2500, 0.7500, 0.5000]]
}

***

(25)
{
  "formula": "BeZnI4",
  "functional": "GGA-PBE",
  "state": "optimized geometry",
  "crystal_system": "orthorhombic",
  "energy_ev_per_atom": -2.44,
  "lattice_angstrom": [[-3.2127, 3.3354, 6.2408], [3.2127, -3.3354, 6.2408], [3.2127, 3.3354, -6.2408]],
  "species": ["Be", "I", "I", "I", "I", "Zn"],
  "frac_coords": [[0.0000, 0.5000, 0.5000], [0.9024, 0.3848, 0.0643], [0.0976, 0.1619, 0.4825], [0.6795, 0.6152, 0.5175], [0.3205, 0.8381, 0.9357], [0.0000, 0.0000, 0.0000]]
}

***

(26)
{
  "formula": "BeInIr2",
  "functional": "GGA-PBE",
  "state": "optimized geometry",
  "total_magnetization_mub_per_cell": 0.734,
  "crystal_system": "cubic",
  "energy_ev_per_atom": -5.78,
  "lattice_angstrom": [[0.0000, 3.1111, 3.1111], [3.1111, 0.0000, 3.1111], [3.1111, 3.1111, 0.0000]],
  "species": ["Be", "In", "Ir", "Ir"],
  "frac_coords": [[0.2500, 0.2500, 0.2500], [0.5000, 0.5000, 0.5000], [0.0000, 0.0000, 0.0000], [0.7500, 0.7500, 0.7500]]
}

***

(27)
{
  "formula": "BeInIr",
  "functional": "GGA-PBE",
  "state": "optimized geometry",
  "total_magnetization_mub_per_cell": 0.002,
  "crystal_system": "cubic",
  "energy_ev_per_atom": -4.96,
  "lattice_angstrom": [[0.0000, 2.9962, 2.9962], [2.9962, 0.0000, 2.9962], [2.9962, 2.9962, 0.0000]],
  "species": ["Be", "In", "Ir"],
  "frac_coords": [[0.2500, 0.2500, 0.2500], [0.7500, 0.7500, 0.7500], [0.0000, 0.0000, 0.0000]]
}

***

(28)
{
  "formula": "Be2InIr2",
  "functional": "GGA-PBE",
  "state": "optimized geometry",
  "total_magnetization_mub_per_cell": 0.001,
  "crystal_system": "tetragonal",
  "energy_ev_per_atom": -5.92,
  "lattice_angstrom": [[6.6887, 0.0000, 0.0000], [0.0000, 6.6887, 0.0000], [0.0000, 0.0000, 2.8802]],
  "species": ["Be", "Be", "Be", "Be", "In", "In", "Ir", "Ir", "Ir", "Ir"],
  "frac_coords": [[0.6212, 0.1212, 0.0000], [0.1212, 0.3788, 0.0000], [0.8788, 0.6212, 0.0000], [0.3788, 0.8788, 0.0000], [0.0000, 0.0000, 0.0000], [0.5000, 0.5000, 0.0000], [0.3352, 0.1648, 0.5000], [0.8352, 0.3352, 0.5000], [0.1648, 0.6648, 0.5000], [0.6648, 0.8352, 0.5000]]
}

***

(29)
{
  "formula": "BeIn2Ir",
  "functional": "GGA-PBE",
  "state": "optimized geometry",
  "total_magnetization_mub_per_cell": 0.000,
  "crystal_system": "cubic",
  "energy_ev_per_atom": -4.12,
  "lattice_angstrom": [[0.0000, 3.2370, 3.2370], [3.2370, 0.0000, 3.2370], [3.2370, 3.2370, 0.0000]],
  "species": ["Be", "In", "In", "Ir"],
  "frac_coords": [[0.5000, 0.5000, 0.5000], [0.0000, 0.0000, 0.0000], [0.7500, 0.7500, 0.7500], [0.2500, 0.2500, 0.2500]]
}